1.
A relaxed structure of Na2CdAgAs, computed with PBE.

Properties
Volume ... 30.3 Å³/atom
Mass density ... 3.74 g/cm³
Formation energy ... 0.454 eV/atom
Total magnetic moment ... 0.000 Bohr magnetons per cell

Structure (CIF):
```
data_Na2CdAgAs
_chemical_formula_sum 'Na2 Cd1 Ag1 As1'
_symmetry_space_group_name_H-M 'P 4/m m m'
_symmetry_Int_Tables_number 123
_symmetry_space_group_name_Hall '-P 4 2'
_cell_length_a 5.4276
_cell_length_b 5.4276
_cell_length_c 5.1400
_cell_angle_alpha 90.00
_cell_angle_beta 90.00
_cell_angle_gamma 90.00
loop_
_atom_site_label
_atom_site_type_symbol
_atom_site_fract_x
_atom_site_fract_y
_atom_site_fract_z
Na1 Na 0.0000 0.5000 0.0000
Cd1 Cd 0.0000 0.0000 0.0000
Ag1 Ag 0.0000 0.0000 0.5000
As1 As 0.5000 0.5000 0.5000
```

***

2.
A relaxed structure of BeSn2Rh, computed with PBE.

Properties
Volume ... 19.4 Å³/atom
Mass density ... 7.49 g/cm³
Formation energy ... 0.350 eV/atom
Total magnetic moment ... 0.000 Bohr magnetons per cell

Structure (CIF):
```
data_BeSn2Rh
_chemical_formula_sum 'Be4 Sn8 Rh4'
_symmetry_space_group_name_H-M 'I -4 2 d'
_symmetry_Int_Tables_number 122
_symmetry_space_group_name_Hall 'I -4 2bw'
_cell_length_a 7.0502
_cell_length_b 7.0502
_cell_length_c 6.2360
_cell_angle_alpha 90.00
_cell_angle_beta 90.00
_cell_angle_gamma 90.00
loop_
_atom_site_label
_atom_site_type_symbol
_atom_site_fract_x
_atom_site_fract_y
_atom_site_fract_z
Be1 Be 0.0000 0.0000 0.0000
Sn1 Sn 0.2312 0.2500 0.1250
Rh1 Rh 0.0000 0.0000 0.5000
```

***

3.
A relaxed structure of Li5Zn2Cd2, computed with PBE.

Properties
Volume ... 18.0 Å³/atom
Mass density ... 4.00 g/cm³
Formation energy ... -0.096 eV/atom
Total magnetic moment ... 0.000 Bohr magnetons per cell
Energy relative to the lowest polymorph listed for this composition ... 5.5 meV per atom

Structure (CIF):
```
data_Li5Zn2Cd2
_chemical_formula_sum 'Li20 Zn8 Cd8'
_symmetry_space_group_name_H-M 'I m a 2'
_symmetry_Int_Tables_number 46
_symmetry_space_group_name_Hall 'I 2 -2a'
_cell_length_a 12.7156
_cell_length_b 10.9376
_cell_length_c 4.6589
_cell_angle_alpha 90.00
_cell_angle_beta 90.00
_cell_angle_gamma 90.00
loop_
_atom_site_label
_atom_site_type_symbol
_atom_site_fract_x
_atom_site_fract_y
_atom_site_fract_z
Li1 Li 0.0413 0.1604 0.0000
Li2 Li 0.1468 0.6865 0.0775
Li3 Li 0.2500 0.1832 0.1117
Zn1 Zn 0.1511 0.5620 0.5800
Cd1 Cd 0.0000 0.0000 0.5150
Cd2 Cd 0.2500 0.0576 0.5998
```

***

4.
A relaxed structure of CaRh2W, computed with PBE.

Properties
Volume ... 17.0 Å³/atom
Mass density ... 10.52 g/cm³
Formation energy ... 0.048 eV/atom
Total magnetic moment ... 0.000 Bohr magnetons per cell
Energy relative to the lowest polymorph listed for this composition ... 198.5 meV per atom

Structure (CIF):
```
data_CaRh2W
_chemical_formula_sum 'Ca2 Rh4 W2'
_symmetry_space_group_name_H-M 'C 1 m 1'
_symmetry_Int_Tables_number 8
_symmetry_space_group_name_Hall 'C -2y'
_cell_length_a 10.0858
_cell_length_b 2.8383
_cell_length_c 4.8442
_cell_angle_alpha 90.00
_cell_angle_beta 101.93
_cell_angle_gamma 90.00
loop_
_atom_site_label
_atom_site_type_symbol
_atom_site_fract_x
_atom_site_fract_y
_atom_site_fract_z
Ca1 Ca 0.0000 0.0000 0.0000
Rh1 Rh 0.0172 0.5000 0.5032
Rh2 Rh 0.2430 0.0000 0.8405
W1 W 0.2854 0.5000 0.3749
```

***

5.
A relaxed structure of LaTi2AlBi, computed with PBE.

Properties
Volume ... 27.4 Å³/atom
Mass density ... 5.71 g/cm³
Formation energy ... 0.332 eV/atom
Total magnetic moment ... 2.083 Bohr magnetons per cell

Structure (CIF):
```
data_LaTi2AlBi
_chemical_formula_sum 'La1 Ti2 Al1 Bi1'
_symmetry_space_group_name_H-M 'P 4/m m m'
_symmetry_Int_Tables_number 123
_symmetry_space_group_name_Hall '-P 4 2'
_cell_length_a 4.9275
_cell_length_b 4.9275
_cell_length_c 5.6396
_cell_angle_alpha 90.00
_cell_angle_beta 90.00
_cell_angle_gamma 90.00
loop_
_atom_site_label
_atom_site_type_symbol
_atom_site_fract_x
_atom_site_fract_y
_atom_site_fract_z
La1 La 0.0000 0.0000 0.0000
Ti1 Ti 0.0000 0.5000 0.5000
Al1 Al 0.0000 0.0000 0.5000
Bi1 Bi 0.5000 0.5000 0.0000
```

***

6.
A relaxed structure of CsSb2TeS, computed with PBE.

Properties
Volume ... 33.9 Å³/atom
E_form (uncorrected) ... 150 meV/atom
Mass density ... 5.26 g/cm³
Total magnetic moment ... 1.001 Bohr magnetons per cell
Energy relative to the lowest polymorph listed for this composition ... 0.0 meV per atom

Structure (CIF):
```
data_CsSb2TeS
_chemical_formula_sum 'Cs1 Sb2 Te1 S1'
_symmetry_space_group_name_H-M 'P 4/m m m'
_symmetry_Int_Tables_number 123
_symmetry_space_group_name_Hall '-P 4 2'
_cell_length_a 5.4928
_cell_length_b 5.4928
_cell_length_c 5.6129
_cell_angle_alpha 90.00
_cell_angle_beta 90.00
_cell_angle_gamma 90.00
loop_
_atom_site_label
_atom_site_type_symbol
_atom_site_fract_x
_atom_site_fract_y
_atom_site_fract_z
Cs1 Cs 0.0000 0.0000 0.0000
Sb1 Sb 0.0000 0.5000 0.5000
Te1 Te 0.5000 0.5000 0.0000
S1 S 0.5000 0.5000 0.5000
```

***

7.
A relaxed structure of LiMoRuS2, computed with PBE.

Properties
Volume ... 14.2 Å³/atom
E_form (uncorrected) ... 915 meV/atom
Mass density ... 6.27 g/cm³
Total magnetic moment ... 0.000 Bohr magnetons per cell
Energy relative to the lowest polymorph listed for this composition ... 0.0 meV per atom

Structure (CIF):
```
data_LiMoRuS2
_chemical_formula_sum 'Li1 Mo1 Ru1 S2'
_symmetry_space_group_name_H-M 'P 4/m m m'
_symmetry_Int_Tables_number 123
_symmetry_space_group_name_Hall '-P 4 2'
_cell_length_a 4.2541
_cell_length_b 4.2541
_cell_length_c 3.9237
_cell_angle_alpha 90.00
_cell_angle_beta 90.00
_cell_angle_gamma 90.00
loop_
_atom_site_label
_atom_site_type_symbol
_atom_site_fract_x
_atom_site_fract_y
_atom_site_fract_z
Li1 Li 0.0000 0.0000 0.0000
Mo1 Mo 0.5000 0.5000 0.5000
Ru1 Ru 0.0000 0.0000 0.5000
S1 S 0.0000 0.5000 0.0000
```

***

8.
A relaxed structure of YAgPd5, computed with PBE.

Properties
Volume ... 23.9 Å³/atom
Mass density ... 7.23 g/cm³
Formation energy ... 0.204 eV/atom
Total magnetic moment ... 0.000 Bohr magnetons per cell

Structure (CIF):
```
data_YAgPd5
_chemical_formula_sum 'Y2 Ag2 Pd10'
_symmetry_space_group_name_H-M 'I m m 2'
_symmetry_Int_Tables_number 44
_symmetry_space_group_name_Hall 'I 2 -2'
_cell_length_a 5.0733
_cell_length_b 7.0448
_cell_length_c 9.3613
_cell_angle_alpha 90.00
_cell_angle_beta 90.00
_cell_angle_gamma 90.00
loop_
_atom_site_label
_atom_site_type_symbol
_atom_site_fract_x
_atom_site_fract_y
_atom_site_fract_z
Y1 Y 0.0000 0.0000 0.0000
Ag1 Ag 0.0000 0.5000 0.1725
Pd1 Pd 0.0000 0.0000 0.5030
Pd2 Pd 0.0000 0.1852 0.7428
Pd3 Pd 0.2494 0.5000 0.7623
```

***

Repeat the sixth record exactly.
A relaxed structure of CsSb2TeS, computed with PBE.

Properties
Volume ... 33.9 Å³/atom
E_form (uncorrected) ... 150 meV/atom
Mass density ... 5.26 g/cm³
Total magnetic moment ... 1.001 Bohr magnetons per cell
Energy relative to the lowest polymorph listed for this composition ... 0.0 meV per atom

Structure (CIF):
```
data_CsSb2TeS
_chemical_formula_sum 'Cs1 Sb2 Te1 S1'
_symmetry_space_group_name_H-M 'P 4/m m m'
_symmetry_Int_Tables_number 123
_symmetry_space_group_name_Hall '-P 4 2'
_cell_length_a 5.4928
_cell_length_b 5.4928
_cell_length_c 5.6129
_cell_angle_alpha 90.00
_cell_angle_beta 90.00
_cell_angle_gamma 90.00
loop_
_atom_site_label
_atom_site_type_symbol
_atom_site_fract_x
_atom_site_fract_y
_atom_site_fract_z
Cs1 Cs 0.0000 0.0000 0.0000
Sb1 Sb 0.0000 0.5000 0.5000
Te1 Te 0.5000 0.5000 0.0000
S1 S 0.5000 0.5000 0.5000
```